No. 1
Below is crystalline Si4Te3 at its relaxed geometry, with properties calculated at the PBE level.

Calculated values
**Distance to the lowest polymorph of the same formula**: 0.591 eV per atom
**Uncorrected formation energy**: 81 kJ per mole of atoms
**Crystal system**: hexagonal

Cell: 6.9669 6.9669 4.2469 Å, 90.00 90.00 120.00°
Space group P6/mmm (No. 191)
Unique sites:
Si (0.0000, 0.0000, 0.2471) (multiplicity 2)
Si (0.3333, 0.6667, 0.0000) (multiplicity 2)
Te (0.0000, 0.5000, 0.5000) (multiplicity 3)



No. 2
Below is crystalline LiPuCu2 at its relaxed geometry, with properties calculated at the PBE level.

Calculated values
**Distance to the lowest polymorph of the same formula**: 0.050 eV per atom
**Crystal system**: trigonal

Cell: 2.6304 2.6304 28.7624 Å, 90.00 90.00 120.00°
Space group R-3m (No. 166, hexagonal axes)
Unique sites:
Li (0.0000, 0.0000, 0.0000) (multiplicity 3)
Pu (0.0000, 0.0000, 0.5000) (multiplicity 3)
Cu (0.0000, 0.0000, 0.2589) (multiplicity 6)



No. 3
Below is crystalline Pm6Zn5Hg at its relaxed geometry, with properties calculated at the PBE level.

Calculated values
**Electronic total energy**: -39.23 eV per cell
**Crystal system**: monoclinic

Cell: 5.204 7.377 8.247 Å, 90.00 108.27 90.00°
Space group P2/m (No. 10)
Unique sites:
Pm (0.000, 0.241, 0.000) (multiplicity 2)
Pm (0.330, 0.244, 0.661) (multiplicity 4)
Zn (0.167, 0.000, 0.333) (multiplicity 2)
Zn (0.169, 0.500, 0.338) (multiplicity 2)
Zn (0.500, 0.000, 0.000) (multiplicity 1)
Hg (0.500, 0.500, 0.000) (multiplicity 1)



No. 4
Below is crystalline BaCr2N2 at its relaxed geometry, with properties calculated at the PBE level.

Calculated values
**Distance to the lowest polymorph of the same formula**: 0.192 eV per atom
**Uncorrected formation energy**: -20 kJ per mole of atoms
**Crystal system**: tetragonal

Cell: 3.929 3.929 10.992 Å, 90.00 90.00 90.00°
Space group I4/mmm (No. 139)
Unique sites:
Ba (0.000, 0.000, 0.000) (multiplicity 2)
Cr (0.000, 0.000, 0.287) (multiplicity 4)
N (0.000, 0.500, 0.250) (multiplicity 4)



No. 5
Below is crystalline SrZnBr2 at its relaxed geometry, with properties calculated at the PBE level.

Calculated values
**Distance to the lowest polymorph of the same formula**: 0.109 eV per atom
**Uncorrected formation energy**: -117 kJ per mole of atoms
**Crystal system**: cubic

Cell: 7.755 7.755 7.755 Å, 90.00 90.00 90.00°
Space group Fm-3m (No. 225)
Unique sites:
Sr (0.000, 0.000, 0.000) (multiplicity 4)
Zn (0.000, 0.000, 0.500) (multiplicity 4)
Br (0.250, 0.250, 0.250) (multiplicity 8)



no.,spin magnetization (μB per formula unit)
1,0.0
2,2.0
3,0.0
4,6.0
5,0.0